Computed, not measured: Ac12MgCo4 after structural relaxation at the GGA-PBE level of DFT.

Properties
Density = 7.6 g/cm3
E_form = 0.02 eV/atom

abc: 10.903 10.903 10.903
angles: 90.00 90.00 90.00
Space group Im-3 (No. 204)
Asymmetric unit:
Ac 0.000 0.302 0.185
Mg 0.000 0.000 0.000
Co 0.250 0.250 0.250

---

Computed, not measured: CsIn2Te2 after structural relaxation at the GGA-PBE level of DFT.

Properties
Raw formation energy = -0.50 eV per atom
Density = 5.5 g/cm3

abc: 5.867 5.867 10.756
angles: 90.00 90.00 90.00
Space group I4/mmm (No. 139)
Asymmetric unit:
Cs 0.000 0.000 0.000
In 0.000 0.000 0.356
Te 0.000 0.500 0.250

---

Computed, not measured: YMg2 after structural relaxation at the GGA-PBE level of DFT.

Properties
Density = 2.9 g/cm3
E_form = -0.06 eV/atom

abc: 3.423 3.423 13.368
angles: 90.00 90.00 90.00
Space group I4/mmm (No. 139)
Asymmetric unit:
Y 0.000 0.000 0.000
Mg 0.000 0.000 0.325

---

Computed, not measured: La2AgHg after structural relaxation at the GGA-PBE level of DFT.

Properties
Density = 8.5 g/cm3
E_form = -0.38 eV/atom

abc: 3.852 5.318 5.581
angles: 90.00 90.00 90.00
Space group Pmm2 (No. 25)
Asymmetric unit:
La 0.000 0.000 0.000
La 0.000 0.500 0.440
Ag 0.500 0.500 0.917
Hg 0.500 0.000 0.519

---

Computed, not measured: PrYP2Rh5 after structural relaxation at the GGA-PBE level of DFT.

Properties
Density = 7.5 g/cm3
E_form = -0.76 eV/atom

abc: 4.071 4.071 10.715
angles: 90.00 90.00 90.00
Space group P4/mmm (No. 123)
Asymmetric unit:
Pr 0.000 0.000 0.000
Y 0.000 0.000 0.500
P 0.500 0.500 0.212
Rh 0.000 0.500 0.303
Rh 0.500 0.500 0.000

---

Computed, not measured: SnBAs2 after structural relaxation at the GGA-PBE level of DFT.

Properties
Density = 4.2 g/cm3
E_form = 0.51 eV/atom

abc: 4.4576 4.4576 19.3968
angles: 90.00 90.00 120.00
Space group R-3m (No. 166, hexagonal axes)
Asymmetric unit:
Sn 0.0000 0.0000 0.0000
B 0.0000 0.0000 0.5000
As 0.0000 0.0000 0.4027

---

Computed, not measured: Ta4Mo3 after structural relaxation at the GGA-PBE level of DFT.

Properties
Density = 14.0 g/cm3
E_form = -0.09 eV/atom

abc: 2.851 6.990 7.000
angles: 117.69 96.65 98.21
Space group P-1 (No. 2)
Asymmetric unit:
Ta 0.132 0.078 0.353
Ta 0.294 0.640 0.213
Mo 0.000 0.500 0.500
Mo 0.436 0.212 0.071

---

Computed, not measured: PrYCd6 after structural relaxation at the GGA-PBE level of DFT.

Properties
Density = 7.6 g/cm3
E_form = -0.30 eV/atom

abc: 4.943 7.158 11.184
angles: 90.00 90.00 90.00
Space group Amm2 (No. 38)
Asymmetric unit:
Pr 0.000 0.000 0.000
Y 0.500 0.000 0.283
Cd 0.000 0.000 0.467
Cd 0.000 0.219 0.733
Cd 0.500 0.000 0.809
Cd 0.500 0.214 0.550

---

Computed, not measured: CuPt after structural relaxation at the GGA-PBE level of DFT.

Properties
Density = 15.3 g/cm3
E_form = -0.11 eV/atom

abc: 7.641 10.805 2.724
angles: 90.00 90.00 90.00
Space group Cmmm (No. 65)
Asymmetric unit:
Cu 0.000 0.118 0.000
Cu 0.240 0.000 0.500
Pt 0.000 0.377 0.000
Pt 0.250 0.250 0.500

---

Computed, not measured: Ba2PrEu after structural relaxation at the GGA-PBE level of DFT.

Properties
Density = 4.8 g/cm3
E_form = 0.17 eV/atom

abc: 6.565 6.565 4.548
angles: 90.00 90.00 90.00
Space group P4/mmm (No. 123)
Asymmetric unit:
Ba 0.000 0.500 0.000
Pr 0.000 0.000 0.500
Eu 0.500 0.500 0.500

---

Computed, not measured: KLi2Co after structural relaxation at the GGA-PBE level of DFT.

Properties
Density = 1.9 g/cm3
E_form = 0.64 eV/atom

abc: 3.3136 3.3136 30.1245
angles: 90.00 90.00 120.00
Space group R-3m (No. 166, hexagonal axes)
Asymmetric unit:
K 0.0000 0.0000 0.0000
Li 0.0000 0.0000 0.2237
Co 0.0000 0.0000 0.5000

---

Computed, not measured: K2ReSb after structural relaxation at the GGA-PBE level of DFT.

Properties
Raw formation energy = 0.86 eV per atom
Density = 2.8 g/cm3

abc: 13.456 13.456 5.119
angles: 90.00 90.00 90.00
Space group I-42d (No. 122)
Asymmetric unit:
K 0.016 0.250 0.125
Re 0.000 0.000 0.500
Sb 0.000 0.000 0.000

---

Repeat the tenth record exactly.
Computed, not measured: Ba2PrEu after structural relaxation at the GGA-PBE level of DFT.

Properties
Density = 4.8 g/cm3
E_form = 0.17 eV/atom

abc: 6.565 6.565 4.548
angles: 90.00 90.00 90.00
Space group P4/mmm (No. 123)
Asymmetric unit:
Ba 0.000 0.500 0.000
Pr 0.000 0.000 0.500
Eu 0.500 0.500 0.500

---

density of number 6 (SnBAs2)?
4.2 g/cm3

---

The highest density belongs to which entry?
CuPt

---

Look up the density of the tenth one.
4.8 g/cm3